1.
{
  "formula": "BaMgAg2",
  "functional": "meta-GGA SCAN",
  "state": "single point on PBEsol structure",
  "volume_a3_per_cell": 110.2,
  "dos_at_fermi_per_ev_atom": 0.463,
  "crystal_system": "trigonal",
  "e_form_mev_per_atom": -284,
  "cell": [[2.3915, 1.3807, 5.5606], [-2.3915, 1.3807, 5.5606], [0.0000, -2.7615, 5.5606]],
  "species": ["Ba", "Mg", "Ag", "Ag"],
  "fractional_positions": [[0.0000, 0.0000, 0.0000], [0.5000, 0.5000, 0.5000], [0.1970, 0.1970, 0.1970], [0.8030, 0.8030, 0.8030]]
}



2.
{
  "formula": "Na2MgAs2",
  "functional": "meta-GGA SCAN",
  "state": "single point on PBEsol structure",
  "volume_a3_per_cell": 209.4,
  "dos_at_fermi_per_ev_atom": 0.407,
  "crystal_system": "tetragonal",
  "e_form_mev_per_atom": -182,
  "cell": [[8.3235, 0.0000, 0.0000], [0.0000, 8.3235, 0.0000], [0.0000, 0.0000, 3.0222]],
  "species": ["Na", "Na", "Na", "Na", "Mg", "Mg", "As", "As", "As", "As"],
  "fractional_positions": [[0.1144, 0.3856, 0.0000], [0.3856, 0.8856, 0.0000], [0.6144, 0.1144, 0.0000], [0.8856, 0.6144, 0.0000], [0.0000, 0.0000, 0.0000], [0.5000, 0.5000, 0.0000], [0.1862, 0.6862, 0.5000], [0.3138, 0.1862, 0.5000], [0.6862, 0.8138, 0.5000], [0.8138, 0.3138, 0.5000]]
}



3.
{
  "formula": "Mg2ZrS",
  "functional": "meta-GGA SCAN",
  "state": "single point on PBEsol structure",
  "volume_a3_per_cell": 161.5,
  "de_polymorph_mev_per_atom": 0.0,
  "dos_at_fermi_per_ev_atom": 0.374,
  "crystal_system": "tetragonal",
  "formation_energy_uncorrected_mev_per_atom": -368.3,
  "cell": [[-3.9537, 3.9537, 2.5835], [3.9537, -3.9537, 2.5835], [3.9537, 3.9537, -2.5835]],
  "species": ["Mg", "Mg", "Mg", "Mg", "Zr", "Zr", "S", "S"],
  "fractional_positions": [[0.0599, 0.1250, 0.4349], [0.3750, 0.9401, 0.0651], [0.6901, 0.6250, 0.5651], [0.8750, 0.3099, 0.9349], [0.2500, 0.7500, 0.5000], [0.5000, 0.5000, 0.0000], [0.0000, 0.0000, 0.0000], [0.7500, 0.2500, 0.5000]]
}



4.
{
  "formula": "Re4AsSe",
  "functional": "meta-GGA SCAN",
  "state": "single point on PBEsol structure",
  "volume_a3_per_cell": 100.2,
  "dos_at_fermi_per_ev_atom": 0.691,
  "crystal_system": "cubic",
  "formation_energy_uncorrected_mev_per_atom": 1086.8,
  "cell": [[0.0000, 3.6869, 3.6869], [3.6869, 0.0000, 3.6869], [3.6869, 3.6869, 0.0000]],
  "species": ["Re", "Re", "Re", "Re", "As", "Se"],
  "fractional_positions": [[0.1250, 0.1250, 0.1250], [0.1250, 0.1250, 0.6249], [0.1250, 0.6249, 0.1250], [0.6249, 0.1250, 0.1250], [0.7500, 0.7500, 0.7500], [0.5000, 0.5000, 0.5000]]
}



5.
{
  "formula": "GeBi2SeBr",
  "functional": "meta-GGA SCAN",
  "state": "single point on PBEsol structure",
  "volume_a3_per_cell": 158.3,
  "dos_at_fermi_per_ev_atom": 0.868,
  "crystal_system": "tetragonal",
  "formation_energy_uncorrected_mev_per_atom": 629.8,
  "cell": [[5.5205, 0.0000, 0.0000], [0.0000, 5.5205, 0.0000], [0.0000, 0.0000, 5.1936]],
  "species": ["Ge", "Bi", "Bi", "Se", "Br"],
  "fractional_positions": [[0.0000, 0.0000, 0.0000], [0.0000, 0.5000, 0.5000], [0.5000, 0.0000, 0.5000], [0.0000, 0.0000, 0.5000], [0.5000, 0.5000, 0.0000]]
}



6.
{
  "formula": "TlSbPtS2",
  "functional": "meta-GGA SCAN",
  "state": "single point on PBEsol structure",
  "volume_a3_per_cell": 132.7,
  "dos_at_fermi_per_ev_atom": 0.984,
  "crystal_system": "tetragonal",
  "formation_energy_uncorrected_mev_per_atom": 1056.6,
  "cell": [[4.8854, 0.0000, 0.0000], [0.0000, 4.8854, 0.0000], [0.0000, 0.0000, 5.5581]],
  "species": ["Tl", "Sb", "Pt", "S", "S"],
  "fractional_positions": [[0.0000, 0.0000, 0.0000], [0.0000, 0.0000, 0.5000], [0.5000, 0.5000, 0.0000], [0.0000, 0.5000, 0.5000], [0.5000, 0.0000, 0.5000]]
}



7.
{
  "formula": "Be2GaN",
  "functional": "meta-GGA SCAN",
  "state": "single point on PBEsol structure",
  "volume_a3_per_cell": 88.5,
  "dos_at_fermi_per_ev_atom": 0.051,
  "crystal_system": "tetragonal",
  "formation_energy_uncorrected_mev_per_atom": -408.5,
  "cell": [[-2.4993, 2.4993, 3.5411], [2.4993, -2.4993, 3.5411], [2.4993, 2.4993, -3.5411]],
  "species": ["Be", "Be", "Be", "Be", "Ga", "Ga", "N", "N"],
  "fractional_positions": [[0.3750, 0.2301, 0.3551], [0.7699, 0.1250, 0.1449], [0.8750, 0.0199, 0.6449], [0.9801, 0.6250, 0.8551], [0.2500, 0.7500, 0.5000], [0.5000, 0.5000, 0.0000], [0.0000, 0.0000, 0.0000], [0.7500, 0.2500, 0.5000]]
}



8.
{
  "formula": "Cu2O3",
  "functional": "meta-GGA SCAN",
  "state": "single point on PBEsol structure",
  "volume_a3_per_cell": 385.8,
  "dos_at_fermi_per_ev_atom": 0.625,
  "crystal_system": "cubic",
  "formation_energy_uncorrected_mev_per_atom": -565.6,
  "cell": [[-4.5860, 4.5860, 4.5860], [4.5860, -4.5860, 4.5860], [4.5860, 4.5860, -4.5860]],
  "species": ["Cu", "Cu", "Cu", "Cu", "Cu", "Cu", "Cu", "Cu", "Cu", "Cu", "Cu", "Cu", "Cu", "Cu", "Cu", "Cu", "O", "O", "O", "O", "O", "O", "O", "O", "O", "O", "O", "O", "O", "O", "O", "O", "O", "O", "O", "O", "O", "O", "O", "O"],
  "fractional_positions": [[0.0000, 0.0000, 0.5000], [0.0000, 0.5000, 0.0000], [0.0328, 0.7500, 0.7828], [0.2172, 0.9672, 0.2500], [0.2500, 0.2172, 0.9672], [0.2500, 0.7172, 0.4672], [0.2828, 0.5328, 0.7500], [0.4672, 0.2500, 0.7172], [0.5000, 0.0000, 0.0000], [0.5000, 0.5000, 0.5000], [0.5328, 0.7500, 0.2828], [0.7172, 0.4672, 0.2500], [0.7500, 0.2828, 0.5328], [0.7500, 0.7828, 0.0328], [0.7828, 0.0328, 0.7500], [0.9672, 0.2500, 0.2172], [0.0147, 0.9575, 0.7313], [0.0425, 0.2687, 0.9853], [0.0572, 0.5147, 0.7834], [0.2166, 0.9428, 0.4853], [0.2262, 0.4575, 0.4428], [0.2313, 0.2738, 0.7166], [0.2687, 0.9853, 0.0425], [0.2738, 0.7166, 0.2313], [0.2834, 0.7687, 0.7262], [0.4428, 0.2262, 0.4575], [0.4575, 0.4428, 0.2262], [0.4853, 0.2166, 0.9428], [0.5147, 0.7834, 0.0572], [0.5425, 0.5572, 0.7738], [0.5572, 0.7738, 0.5425], [0.7166, 0.2313, 0.2738], [0.7262, 0.2834, 0.7687], [0.7313, 0.0147, 0.9575], [0.7687, 0.7262, 0.2834], [0.7738, 0.5425, 0.5572], [0.7834, 0.0572, 0.5147], [0.9428, 0.4853, 0.2166], [0.9575, 0.7313, 0.0147], [0.9853, 0.0425, 0.2687]]
}